Version w
This record from Alexandria describes a geometry-optimized Li2FeP2O8 structure. The functional is PBE+U.

Magnetic moment (μB per atom): 0.41

abc: 4.8941 4.8941 6.3911
angles: 90.79 90.79 66.22
Atoms (fractional coordinates):
Li (0.0000, 0.0000, 0.0000)
Li (0.6691, 0.6691, 0.2568)
Fe (0.9970, 0.9970, 0.5221)
P (0.3451, 0.3451, 0.2727)
P (0.6406, 0.6406, 0.7538)
O (0.2268, 0.6945, 0.2846)
O (0.2297, 0.2297, 0.4598)
O (0.2478, 0.2478, 0.0664)
O (0.2939, 0.7684, 0.7447)
O (0.6945, 0.2268, 0.2846)
O (0.7372, 0.7372, 0.9634)
O (0.7551, 0.7551, 0.5616)
O (0.7684, 0.2939, 0.7447)

Version x
This record from Alexandria describes a geometry-optimized Li2FeP2O8 structure. The functional is PBE+U.

Magnetic moment (μB per atom): 0.46

abc: 4.9461 4.9502 7.0564
angles: 84.14 89.68 60.50
Atoms (fractional coordinates):
Li (0.1948, 0.1126, 0.2859)
Li (0.8052, 0.8874, 0.7141)
Fe (0.5000, 0.5000, 0.0000)
P (0.1455, 0.2181, 0.7617)
P (0.8545, 0.7819, 0.2383)
O (0.1647, 0.7647, 0.1794)
O (0.1659, 0.2342, 0.5411)
O (0.1746, 0.4875, 0.8344)
O (0.4296, 0.8959, 0.8346)
O (0.5704, 0.1041, 0.1654)
O (0.8254, 0.5125, 0.1656)
O (0.8341, 0.7658, 0.4589)
O (0.8353, 0.2353, 0.8206)

Which is most stable, and by how much? version x, by 0.026 eV/atom.

Version w
This record from Alexandria describes a geometry-optimized Li2FeP2O8 structure. The functional is PBE+U.

Magnetic moment (μB per atom): 0.30

abc: 5.1027 5.1027 14.3749
angles: 94.84 94.84 54.93
Atoms (fractional coordinates):
Li (0.0131, 0.9869, 0.5000)
Li (0.5583, 0.8296, 0.8709)
Li (0.8296, 0.5583, 0.3709)
Li (0.9869, 0.0131, 0.0000)
Fe (0.6177, 0.6912, 0.6631)
Fe (0.6912, 0.6177, 0.1631)
P (0.0580, 0.9306, 0.2783)
P (0.3063, 0.3374, 0.5579)
P (0.3374, 0.3063, 0.0579)
P (0.9306, 0.0580, 0.7783)
O (0.0727, 0.4781, 0.6390)
O (0.1153, 0.9390, 0.8720)
O (0.1196, 0.5357, 0.4725)
O (0.1642, 0.9280, 0.6972)
O (0.3553, 0.5996, 0.0817)
O (0.4312, 0.7353, 0.2797)
O (0.4337, 0.9762, 0.5453)
O (0.4781, 0.0727, 0.1390)
O (0.5357, 0.1196, 0.9725)
O (0.5996, 0.3553, 0.5817)
O (0.6843, 0.9701, 0.7599)
O (0.7353, 0.4312, 0.7797)
O (0.9280, 0.1642, 0.1972)
O (0.9390, 0.1153, 0.3720)
O (0.9701, 0.6843, 0.2599)
O (0.9762, 0.4337, 0.0453)

Version x
This record from Alexandria describes a geometry-optimized Li2FeP2O8 structure. The functional is PBE+U.

Magnetic moment (μB per atom): 0.46

abc: 4.9682 4.9682 7.1344
angles: 90.00 90.00 120.00
Atoms (fractional coordinates):
Li (0.3333, 0.6667, 0.2178)
Li (0.6667, 0.3333, 0.7822)
Fe (0.0000, 0.0000, 0.5000)
P (0.3333, 0.6667, 0.7362)
P (0.6667, 0.3333, 0.2638)
O (0.0516, 0.6942, 0.6666)
O (0.3058, 0.3574, 0.6666)
O (0.3333, 0.6667, 0.9515)
O (0.3574, 0.0516, 0.3334)
O (0.6426, 0.9484, 0.6666)
O (0.6667, 0.3333, 0.0485)
O (0.6942, 0.6426, 0.3334)
O (0.9484, 0.3058, 0.3334)

Which is most stable, and by how much? version x, by 0.015 eV/atom.

Version w
This record from Alexandria describes a geometry-optimized LiFe4P4O16 structure. The functional is PBE+U.

Magnetic moment (μB per atom): 0.76

abc: 7.9993 7.9993 7.9993
angles: 140.95 74.24 119.68
Atoms (fractional coordinates):
Li (0.0000, 0.0000, 0.0000)
Fe (0.0553, 0.6776, 0.3777)
Fe (0.3000, 0.6776, 0.6223)
Fe (0.5446, 0.6751, 0.8695)
Fe (0.8057, 0.6751, 0.1305)
P (0.2789, 0.0262, 0.2527)
P (0.3354, 0.3354, 0.0000)
P (0.7736, 0.0262, 0.7473)
P (0.8286, 0.3286, 0.5000)
O (0.0338, 0.4348, 0.5991)
O (0.0729, 0.9233, 0.1496)
O (0.2108, 0.4400, 0.2292)
O (0.2108, 0.9816, 0.7708)
O (0.2670, 0.9174, 0.3496)
O (0.3406, 0.4400, 0.9007)
O (0.3934, 0.3803, 0.4918)
O (0.3934, 0.9016, 0.0131)
O (0.5393, 0.4400, 0.0993)
O (0.5678, 0.9174, 0.6504)
O (0.7186, 0.4650, 0.7464)
O (0.7186, 0.9722, 0.2536)
O (0.7737, 0.9233, 0.8504)
O (0.8357, 0.4348, 0.4009)
O (0.8885, 0.3803, 0.9869)
O (0.8885, 0.9016, 0.5082)

Version x
This record from Alexandria describes a geometry-optimized LiFe4P4O16 structure. The functional is PBE+U.

Magnetic moment (μB per atom): 0.76

abc: 4.8662 5.9668 10.1107
angles: 90.05 90.61 90.23
Atoms (fractional coordinates):
Li (0.0000, 0.0000, 0.0000)
Fe (0.0426, 0.2569, 0.2871)
Fe (0.4750, 0.2589, 0.7783)
Fe (0.5333, 0.7529, 0.2324)
Fe (0.9692, 0.7521, 0.7266)
P (0.0928, 0.7568, 0.4074)
P (0.4364, 0.7584, 0.9132)
P (0.5902, 0.2551, 0.1035)
P (0.9045, 0.2530, 0.6053)
O (0.1646, 0.7567, 0.5519)
O (0.2130, 0.2530, 0.6339)
O (0.2338, 0.5545, 0.3300)
O (0.2377, 0.9571, 0.3300)
O (0.2778, 0.2439, 0.1226)
O (0.2835, 0.9665, 0.8495)
O (0.3062, 0.5530, 0.8405)
O (0.3449, 0.7595, 0.0609)
O (0.6761, 0.2522, 0.9583)
O (0.7270, 0.4544, 0.1821)
O (0.7464, 0.0516, 0.1733)
O (0.7490, 0.7725, 0.9041)
O (0.7512, 0.0542, 0.6740)
O (0.7553, 0.4538, 0.6738)
O (0.7830, 0.7577, 0.3800)
O (0.8580, 0.2536, 0.4537)

Which is most stable, and by how much? version x, by 0.012 eV/atom.